No. 1
VASP calculation (PBE) on a geometry-optimized NaHg2Cl5 structure.

Computed properties:
energy relative to the lowest polymorph listed for this composition = 0.0 meV/atom
formation energy from raw total energies = -0.87 eV per atom
D(E_F) = 0.00 states/eV per cell

a = 6.781 Å, b = 6.945 Å, c = 7.357 Å
α = 67.11°, β = 72.76°, γ = 69.51°
Positions (direct):
Na 0.000 0.000 0.000
Hg 0.157 0.048 0.418
Hg 0.726 0.598 0.425
Cl 0.014 0.318 0.132
Cl 0.094 0.702 0.370
Cl 0.329 0.875 0.702
Cl 0.599 0.904 0.151
Cl 0.741 0.261 0.687

=====

No. 2
VASP calculation (PBE) on a geometry-optimized Nd2TmGa4Pt3 structure.

Computed properties:
raw total energy = -5.32 eV per atom
D(E_F) = 8.23 states/eV per cell

a = 4.245 Å, b = 4.245 Å, c = 11.563 Å
α = 90.00°, β = 90.00°, γ = 90.00°
Positions (direct):
Nd 0.000 0.500 0.229
Nd 0.500 0.000 0.771
Tm 0.000 0.000 0.500
Ga 0.000 0.000 0.000
Ga 0.000 0.500 0.663
Ga 0.500 0.000 0.337
Ga 0.500 0.500 0.000
Pt 0.000 0.500 0.876
Pt 0.500 0.000 0.124
Pt 0.500 0.500 0.500

=====

No. 3
VASP calculation (PBE) on a geometry-optimized TiIrOs2 structure.

Computed properties:
energy relative to the lowest polymorph listed for this composition = 448.3 meV/atom
D(E_F) = 5.59 states/eV per cell

a = 4.381 Å, b = 4.381 Å, c = 4.381 Å
α = 60.00°, β = 60.00°, γ = 60.00°
Positions (direct):
Ti 0.000 0.000 0.000
Ir 0.500 0.500 0.500
Os 0.250 0.250 0.250
Os 0.750 0.750 0.750